Material: YCuAg2F8
Method: DFT, PBE
State: optimized geometry

```
data_YCuAg2F8
_chemical_formula_sum 'Y1 Cu1 Ag2 F8'
_symmetry_space_group_name_H-M 'P -1'
_symmetry_Int_Tables_number 2
_cell_length_a 3.960
_cell_length_b 5.461
_cell_length_c 7.966
_cell_angle_alpha 87.62
_cell_angle_beta 89.38
_cell_angle_gamma 87.03
loop_
_symmetry_equiv_pos_as_xyz
'x,y,z'
'-x,-y,-z'
loop_
_atom_site_label
_atom_site_type_symbol
_atom_site_fract_x
_atom_site_fract_y
_atom_site_fract_z
Y1 Y 0.000 0.000 0.000
Cu1 Cu 0.000 0.000 0.500
Ag1 Ag 0.480 0.481 0.267
F1 F 0.020 0.132 0.279
F2 F 0.022 0.334 0.831
F3 F 0.361 0.761 0.464
F4 F 0.499 0.793 0.942
```

Material: YCuAgF6
Method: DFT, PBE
State: optimized geometry

```
data_YCuAgF6
_chemical_formula_sum 'Y2 Cu2 Ag2 F12'
_symmetry_space_group_name_H-M 'P -3 1 c'
_symmetry_Int_Tables_number 163
_symmetry_space_group_name_Hall '-P 3 2c'
_cell_length_a 5.7104
_cell_length_b 5.7104
_cell_length_c 9.9013
_cell_angle_alpha 90.00
_cell_angle_beta 90.00
_cell_angle_gamma 120.00
loop_
_atom_site_label
_atom_site_type_symbol
_atom_site_fract_x
_atom_site_fract_y
_atom_site_fract_z
Y1 Y 0.3333 0.6667 0.2500
Cu1 Cu 0.3333 0.6667 0.7500
Ag1 Ag 0.0000 0.0000 0.0000
F1 F 0.0176 0.3686 0.6380
```

Calculated VASP energy, -4.775 -5.211 eV/atom (same order as the records).
Calculated energy relative to the elements, uncorrected, -2.17 -2.47 eV per atom (same order as the records).